Density functional theory data (PBE-GGA) for an optimized crystal structure of TbGaPd.

abc: 4.587 4.587 4.587
angles: 60.00 60.00 60.00
Element x y z (fractional)
Tb: 0.000 0.000 0.000
Ga: 0.500 0.500 0.500
Pd: 0.750 0.750 0.750

Values from the calculation:
The value obtained for the formation energy is -0.660 eV/atom. As for the space group: No. 216. The calculation puts the total energy at -14.83 eV per cell.